(1)
Material: CePm2PrY5
Method: DFT, PBE
State: relaxed

Cell: 8.7382 8.7382 7.9920 Å, 90.00 90.00 90.00°
Closest atoms and distances in Å follow each position.
Fractional positions:
Ce 0.0000 0.5000 0.0000  4 Y 3.14
Ce 0.5000 0.0000 0.0000  4 Y 3.14
Pm 0.1182 0.3818 0.5000  1 Pm 2.92, 2 Y 3.07
Pm 0.3818 0.8818 0.5000  1 Pm 2.92, 2 Y 3.07
Pm 0.6182 0.1182 0.5000  1 Pm 2.92, 2 Y 3.07
Pm 0.8818 0.6182 0.5000  1 Pm 2.92, 2 Y 3.07
Pr 0.0000 0.0000 0.0000  10 Y 3.63-4.00
Pr 0.5000 0.5000 0.0000  10 Y 3.63-4.00
Y 0.0000 0.0000 0.5000  4 Pm 3.49, 8 Y 3.81
Y 0.2063 0.7063 0.2287  1 Pm 3.07, 1 Ce 3.14
Y 0.2063 0.7063 0.7713  1 Pm 3.07, 1 Ce 3.14
Y 0.2937 0.2063 0.2287  1 Pm 3.07, 1 Ce 3.14
Y 0.2937 0.2063 0.7713  1 Pm 3.07, 1 Ce 3.14
Y 0.5000 0.5000 0.5000  4 Pm 3.49, 8 Y 3.81
Y 0.7063 0.7937 0.2287  1 Pm 3.07, 1 Ce 3.14
Y 0.7063 0.7937 0.7713  1 Pm 3.07, 1 Ce 3.14
Y 0.7937 0.2937 0.2287  1 Pm 3.07, 1 Ce 3.14
Y 0.7937 0.2937 0.7713  1 Pm 3.07, 1 Ce 3.14

Size of the total moment ... 2.5 μB per cell

(2)
Material: CePmPrY
Method: DFT, PBE
State: relaxed

Cell: 5.7672 5.7672 5.7672 Å, 60.00 60.00 60.00°
Closest atoms and distances in Å follow each position.
Fractional positions:
Ce 0.0000 0.0000 0.0000  4 Pm 3.53, 4 Y 3.53
Pm 0.2500 0.2500 0.2500  4 Ce 3.53, 4 Pr 3.53
Pr 0.5000 0.5000 0.5000  4 Pm 3.53, 4 Y 3.53
Y 0.7500 0.7500 0.7500  4 Ce 3.53, 4 Pr 3.53

Size of the total moment ... 1.2 μB per cell

(3)
Material: Ce3PmPt3
Method: DFT, PBE
State: relaxed

Cell: 7.0410 7.0410 7.1975 Å, 90.17 90.17 99.00°
Closest atoms and distances in Å follow each position.
Fractional positions:
Ce 0.1838 0.8162 0.0000  6 Pt 2.95-3.01
Ce 0.2443 0.7557 0.5000  6 Pt 2.92-3.09
Ce 0.3700 0.3700 0.8954  1 Ce 2.81, 3 Pt 2.92-3.04
Ce 0.6300 0.6300 0.1046  1 Ce 2.81, 3 Pt 2.92-3.04
Ce 0.7557 0.2443 0.5000  6 Pt 2.92-3.09
Ce 0.8162 0.1838 0.0000  6 Pt 2.95-3.01
Pm 0.2558 0.2558 0.3753  4 Pt 2.95-3.04
Pm 0.7442 0.7442 0.6247  4 Pt 2.95-3.04
Pt 0.0163 0.4858 0.7523  5 Ce 2.92-3.01, 1 Pm 2.99, 1 Pt 3.02
Pt 0.0706 0.0706 0.7092  2 Pm 2.95-3.04, 5 Ce 2.95-3.09, 3 Pt 3.02-3.27
Pt 0.4858 0.0163 0.7523  5 Ce 2.92-3.01, 1 Pm 2.99, 1 Pt 3.02
Pt 0.5142 0.9837 0.2477  5 Ce 2.92-3.01, 1 Pm 2.99, 1 Pt 3.02
Pt 0.9294 0.9294 0.2908  2 Pm 2.95-3.04, 5 Ce 2.95-3.09, 3 Pt 3.02-3.27
Pt 0.9837 0.5142 0.2477  5 Ce 2.92-3.01, 1 Pm 2.99, 1 Pt 3.02

Size of the total moment ... 4.1 μB per cell

(4)
Material: CePmPt2
Method: DFT, PBE
State: relaxed

Cell: 7.2307 7.2307 7.2307 Å, 33.22 33.22 33.22°
Closest atoms and distances in Å follow each position.
Fractional positions:
Ce 0.0000 0.0000 0.0000  6 Pt 2.90
Pm 0.5000 0.5000 0.5000  6 Pt 2.97
Pt 0.2532 0.2532 0.2532  3 Ce 2.90, 3 Pm 2.97
Pt 0.7468 0.7468 0.7468  3 Ce 2.90, 3 Pm 2.97

Size of the total moment ... 0.3 μB per cell

(5)
Material: CePmPt2
Method: DFT, PBE
State: relaxed

Cell: 7.4721 7.4721 7.4721 Å, 31.61 31.61 31.61°
Closest atoms and distances in Å follow each position.
Fractional positions:
Ce 0.0000 0.0000 0.0000  6 Pt 2.88-2.94
Pm 0.8284 0.8284 0.8284  6 Pt 2.94-3.01
Pt 0.4118 0.4118 0.4118  3 Ce 2.88, 3 Pm 2.94
Pt 0.5838 0.5838 0.5838  3 Ce 2.94, 3 Pm 3.01

Size of the total moment ... 0.4 μB per cell

(6)
Material: Ce3PmPt2
Method: DFT, PBE
State: relaxed

Cell: 8.7320 8.7320 8.5954 Å, 117.34 117.34 30.11°
Closest atoms and distances in Å follow each position.
Fractional positions:
Ce 0.0664 0.0664 0.4386  3 Ce 2.89-2.98, 2 Pt 2.98
Ce 0.2886 0.2886 0.6153  2 Pt 2.82-2.85, 2 Ce 2.88
Ce 0.3729 0.3729 0.3050  4 Pt 2.95-3.17, 2 Ce 2.98
Ce 0.6271 0.6271 0.6950  4 Pt 2.95-3.17, 2 Ce 2.98
Ce 0.7114 0.7114 0.3847  2 Pt 2.82-2.85, 2 Ce 2.88
Ce 0.9336 0.9336 0.5614  3 Ce 2.89-2.98, 2 Pt 2.98
Pm 0.1105 0.1105 0.0297  5 Pt 2.99-3.18
Pm 0.8895 0.8895 0.9703  5 Pt 2.99-3.18
Pt 0.2430 0.2430 0.8913  3 Ce 2.82-2.95, 2 Pt 2.88, 1 Pm 2.99
Pt 0.4804 0.4804 0.8145  4 Ce 2.85-3.10, 1 Pt 2.93, 2 Pm 3.09
Pt 0.5196 0.5196 0.1855  4 Ce 2.85-3.10, 1 Pt 2.93, 2 Pm 3.09
Pt 0.7570 0.7570 0.1087  3 Ce 2.82-2.95, 2 Pt 2.88, 1 Pm 2.99

Size of the total moment ... 0.0 μB per cell

(7)
Material: CePm2Pt2
Method: DFT, PBE
State: relaxed

Cell: 10.2647 7.2040 7.2253 Å, 90.00 92.41 90.00°
Closest atoms and distances in Å follow each position.
Fractional positions:
Ce 0.1306 0.1870 0.0056  5 Pt 2.94-3.12
Ce 0.1306 0.3130 0.5056  5 Pt 2.94-3.12
Ce 0.8694 0.6870 0.4944  5 Pt 2.94-3.12
Ce 0.8694 0.8130 0.9944  5 Pt 2.94-3.12
Pm 0.2104 0.6613 0.1461  5 Pt 2.97-3.17
Pm 0.2104 0.8387 0.6461  5 Pt 2.97-3.17
Pm 0.4788 0.2480 0.0400  3 Pt 2.90-2.95
Pm 0.4788 0.2520 0.5400  3 Pt 2.90-2.95
Pm 0.5212 0.7480 0.4600  3 Pt 2.90-2.95
Pm 0.5212 0.7520 0.9600  3 Pt 2.90-2.95
Pm 0.7896 0.1613 0.3539  5 Pt 2.97-3.17
Pm 0.7896 0.3387 0.8539  5 Pt 2.97-3.17
Pt 0.0376 0.5494 0.8036  4 Ce 2.94-3.12, 3 Pm 2.99-3.09, 2 Pt 3.06
Pt 0.0376 0.9506 0.3036  4 Ce 2.94-3.12, 3 Pm 2.99-3.09, 2 Pt 3.06
Pt 0.3319 0.0101 0.2874  5 Pm 2.90-3.17, 1 Pt 3.06, 1 Ce 3.11
Pt 0.3319 0.4899 0.7874  5 Pm 2.90-3.17, 1 Pt 3.06, 1 Ce 3.11
Pt 0.6681 0.5101 0.2126  5 Pm 2.90-3.17, 1 Pt 3.06, 1 Ce 3.11
Pt 0.6681 0.9899 0.7126  5 Pm 2.90-3.17, 1 Pt 3.06, 1 Ce 3.11
Pt 0.9624 0.0494 0.6964  4 Ce 2.94-3.12, 3 Pm 2.99-3.09, 2 Pt 3.06
Pt 0.9624 0.4506 0.1964  4 Ce 2.94-3.12, 3 Pm 2.99-3.09, 2 Pt 3.06

Size of the total moment ... 3.2 μB per cell

(8)
Material: Ce2PmPt
Method: DFT, PBE
State: relaxed

Cell: 9.5800 9.5800 9.5800 Å, 23.25 23.25 23.25°
Closest atoms and distances in Å follow each position.
Fractional positions:
Ce 0.0000 0.0000 0.0000  3 Pt 2.88
Ce 0.2039 0.2039 0.2039  3 Pt 2.87
Pm 0.7699 0.7699 0.7699  6 Ce 3.59-3.65, 6 Pm 3.86
Pt 0.6016 0.6016 0.6016  6 Ce 2.87-2.88

Size of the total moment ... 1.2 μB per cell

no.,Fermi-level density of states (states/eV/cell),formation energy (eV per atom),density (Mg/m³)
1,32.31,0.27,5.53
2,12.29,0.19,6.30
3,29.85,-0.85,10.84
4,4.42,-1.08,11.10
5,5.33,-1.02,11.02
6,22.89,-0.70,10.97
7,35.71,-0.88,10.21
8,10.32,-0.38,8.57